YMgTc4: optimized geometry, PBE-GGA.

Cell and atoms, written as extended XYZ:
```
6
Lattice="5.315 0.000 0.000 2.657 4.603 0.000 2.657 1.534 4.340" Properties=species:S:1:pos:R:3 pbc="T T T"
Tc 5.315 1.528 2.714
Tc 3.981 3.839 2.714
Tc 5.315 3.069 0.536
Tc 6.649 3.839 2.714
Mg 0.000 0.000 0.000
Y 2.657 1.534 1.085
```

Output
ρ: 7.90 Mg/m³
V: 17.7 Å³/atom
density of states at the Fermi level: 5.8 states/eV/f.u.
energy of formation from the pure elements: 0.002 eV per atom
E_tot: -8.251 eV per atom
space-group type: F-43m (216)


Y2MgTc: optimized geometry, PBE-GGA.

Cell and atoms, written as extended XYZ:
```
4
Lattice="3.508 0.000 0.000 0.000 3.506 0.009 0.000 3.487 7.970" Properties=species:S:1:pos:R:3 pbc="T T T"
Mg 1.754 1.748 1.995
Tc 1.754 5.245 5.984
Y 0.000 3.492 7.607
Y 0.000 3.492 4.353
```

Output
ρ: 5.09 Mg/m³
V: 24.5 Å³/atom
density of states at the Fermi level: 4.8 states/eV/f.u.
energy of formation from the pure elements: -0.057 eV per atom
E_tot: -6.279 eV per atom
space-group type: P4/mmm (123)


YMg2Tc: optimized geometry, PBE-GGA.

Cell and atoms, written as extended XYZ:
```
4
Lattice="4.837 -0.693 0.000 0.709 4.834 0.000 -2.773 -2.071 3.449" Properties=species:S:1:pos:R:3 pbc="T T T"
Tc 2.773 2.071 0.000
Y 2.418 -0.346 1.725
Mg 0.355 2.417 1.725
Mg 0.000 0.000 0.000
```

Output
ρ: 4.75 Mg/m³
polymorph energy (0 for the lowest one): 108 meV per atom
V: 20.6 Å³/atom
density of states at the Fermi level: 1.6 states/eV/f.u.
energy of formation from the pure elements: 0.195 eV per atom
E_tot: -4.810 eV per atom
space-group type: I-4m2 (119)


YMg4Tc: optimized geometry, PBE-GGA.

Cell and atoms, written as extended XYZ:
```
6
Lattice="0.000 3.984 3.984 3.984 0.000 3.984 3.984 3.984 0.000" Properties=species:S:1:pos:R:3 pbc="T T T"
Mg 2.997 4.971 4.971
Mg 4.971 4.971 2.997
Mg 4.971 2.997 4.971
Mg 2.997 2.997 2.997
Y 0.000 0.000 0.000
Tc 5.976 5.976 5.976
```

Output
ρ: 3.73 Mg/m³
V: 21.1 Å³/atom
density of states at the Fermi level: 8.1 states/eV/f.u.
energy of formation from the pure elements: 0.263 eV per atom
E_tot: -3.605 eV per atom
space-group type: F-43m (216)


- What is the formula in the fourth record?
  YMg4Tc